# Dy2AlInPt4 PBE optimized geometry
data_Dy2AlInPt4
_chemical_formula_sum 'Dy2 Al1 In1 Pt4'
_space_group_name_H-M_alt 'P 1'
_space_group_IT_number 1
_space_group_name_Hall 'P 1'
_cell_length_a 4.444
_cell_length_b 4.444
_cell_length_c 9.171
_cell_angle_alpha 90.00
_cell_angle_beta 90.00
_cell_angle_gamma 120.00
loop_
_atom_site_label
_atom_site_type_symbol
_atom_site_fract_x
_atom_site_fract_y
_atom_site_fract_z
_atom_site_occupancy
Dy1 Dy 0.333 0.667 0.246 1
Dy2 Dy 0.667 0.333 0.754 1
Al1 Al 0.000 0.000 0.000 1
In1 In 0.000 0.000 0.500 1
Pt1 Pt 0.333 0.667 0.599 1
Pt2 Pt 0.333 0.667 0.919 1
Pt3 Pt 0.667 0.333 0.081 1
Pt4 Pt 0.667 0.333 0.401 1
# Final energy   -6.0485 eV per atom